VASP calculation (GGA-PBE) on a relaxed Ac8Pd3I4Cl crystal.

```
Ac8Pd3I4Cl
1.0
4.429 2.557 8.594
-4.429 2.557 8.594
0.000 -5.114 8.594
Ac Pd I Cl
8 3 4 1
Cartesian
0.000 0.000 5.879
-2.245 -1.296 14.632
0.000 -2.592 11.150
-2.245 1.296 11.150
2.245 -1.296 14.632
0.000 2.592 14.632
2.245 1.296 11.150
0.000 0.000 19.903
-4.429 0.000 12.891
-2.214 1.278 4.297
2.214 1.278 4.297
0.000 0.000 0.000
-2.214 -1.278 8.594
-2.214 1.278 17.188
0.000 2.557 8.594
0.000 0.000 12.891
```

Properties
The space group is R-3m (166). For the total magnetic moment, the calculation gives 1.09 Bohr magnetons per cell. The value obtained for the final energy is -0.16638 Ha/atom. Its density of states at the Fermi level is 13.5 states/eV/f.u. Its volume is 584 Å³ per cell.



VASP calculation (GGA-PBE) on a relaxed CsInAsH2 crystal.

```
CsInAsH2
1.0
4.232 0.000 0.000
0.000 4.232 0.000
0.000 0.000 7.600
Cs In As H
1 1 1 2
Cartesian
0.000 0.000 0.000
0.000 0.000 3.800
2.116 2.116 3.800
0.000 2.116 0.000
2.116 0.000 0.000
```

Properties
The space group is P4/mmm (123). For the total magnetic moment, the calculation gives 0.00 Bohr magnetons per cell. The value obtained for the final energy is -0.07864 Ha/atom. Its density of states at the Fermi level is 1.8 states/eV/f.u. Its volume is 136 Å³ per cell.



VASP calculation (GGA-PBE) on a relaxed AgAsW2 crystal.

```
AgAsW2
1.0
-2.019 2.019 4.007
2.019 -2.019 4.007
2.019 2.019 -4.007
Ag As W
1 1 2
Cartesian
0.000 0.000 0.000
2.019 0.000 2.004
0.000 0.000 4.007
0.000 2.019 2.004
```

Properties
The space group is I-4m2 (119). For the total magnetic moment, the calculation gives 0.00 Bohr magnetons per cell. The value obtained for the final energy is -0.28022 Ha/atom. Its density of states at the Fermi level is 3.9 states/eV/f.u. Its volume is 65 Å³ per cell.



VASP calculation (GGA-PBE) on a relaxed Tc2NiRh crystal.

```
Tc2NiRh
1.0
-1.913 1.913 3.721
1.913 -1.913 3.721
1.913 1.913 -3.721
Tc Ni Rh
2 1 1
Cartesian
0.000 0.000 0.000
0.000 1.913 1.861
1.913 0.000 1.861
0.000 0.000 3.721
```

Properties
The calculation puts the polymorph energy (0 for the lowest one) at 97.0 meV/atom. The space group is I-4m2 (119). For the total magnetic moment, the calculation gives 0.00 Bohr magnetons per cell. The value obtained for the final energy is -0.31072 Ha/atom. Its density of states at the Fermi level is 5.2 states/eV/f.u. Its volume is 54 Å³ per cell.



VASP calculation (GGA-PBE) on a relaxed ThZn3Pt2 crystal.

```
ThZn3Pt2
1.0
7.273 -2.077 0.000
7.273 2.077 0.000
-3.709 0.000 7.369
Th Zn Pt
2 6 4
Cartesian
1.894 0.000 0.218
8.943 0.000 7.151
-0.680 0.000 2.948
2.547 0.000 3.679
4.740 0.000 2.299
6.097 0.000 5.069
8.290 0.000 3.690
11.517 0.000 4.420
0.467 0.000 5.430
3.693 0.000 6.003
7.144 0.000 1.366
10.370 0.000 1.939
```

Properties
The space group is C2/m (12). For the total magnetic moment, the calculation gives 0.00 Bohr magnetons per cell. The value obtained for the final energy is -0.16808 Ha/atom. Its density of states at the Fermi level is 2.4 states/eV/f.u. Its volume is 223 Å³ per cell.



VASP calculation (GGA-PBE) on a relaxed Ca2ReW crystal.

```
Ca2ReW
1.0
-1.764 2.168 5.199
1.764 -2.168 5.199
1.764 2.168 -5.199
Ca Re W
2 1 1
Cartesian
0.000 0.000 2.436
0.000 0.000 7.963
1.764 0.000 0.000
0.000 2.168 0.000
```

Properties
The calculation puts the polymorph energy (0 for the lowest one) at 464.6 meV/atom. The space group is Immm (71). For the total magnetic moment, the calculation gives 0.00 Bohr magnetons per cell. The value obtained for the final energy is -0.23936 Ha/atom. Its density of states at the Fermi level is 2.5 states/eV/f.u. Its volume is 80 Å³ per cell.



VASP calculation (GGA-PBE) on a relaxed PaTiS4 crystal.

```
PaTiS4
1.0
7.134 -1.908 0.000
7.134 1.908 0.000
-2.687 0.000 5.814
Pa Ti S
1 1 4
Cartesian
0.000 0.000 0.000
5.790 0.000 2.907
-0.510 0.000 4.335
3.632 0.000 4.136
7.949 0.000 1.678
12.091 0.000 1.479
```

Properties
The calculation puts the polymorph energy (0 for the lowest one) at 0.0 meV/atom. The space group is C2/m (12). For the total magnetic moment, the calculation gives 1.03 Bohr magnetons per cell. The value obtained for the final energy is -0.25968 Ha/atom. Its density of states at the Fermi level is 5.4 states/eV/f.u. Its volume is 158 Å³ per cell.



VASP calculation (GGA-PBE) on a relaxed TbHo8Sb6 crystal.

```
TbHo8Sb6
1.0
3.979 2.297 8.278
-3.979 2.297 8.278
0.000 -4.595 8.278
Tb Ho Sb
1 8 6
Cartesian
0.000 0.000 0.000
-1.316 -2.306 11.308
-2.655 -0.013 13.526
0.000 0.000 8.279
-1.339 2.293 11.308
1.339 -2.293 13.526
0.000 0.000 16.555
2.655 0.013 11.308
1.316 2.306 13.526
-2.648 -0.014 9.953
-1.312 -2.300 14.881
1.336 -2.286 9.953
-1.336 2.286 14.881
1.312 2.300 9.953
2.648 0.014 14.881
```

Properties
The space group is R-3 (148). For the total magnetic moment, the calculation gives 0.00 Bohr magnetons per cell. The value obtained for the final energy is -0.18882 Ha/atom. Its density of states at the Fermi level is 12.2 states/eV/f.u. Its volume is 454 Å³ per cell.



VASP calculation (GGA-PBE) on a relaxed CeNiAu crystal.

```
CeNiAu
1.0
-1.790 1.790 4.643
1.790 -1.790 4.643
1.790 1.790 -4.643
Ce Ni Au
1 1 1
Cartesian
0.000 0.000 0.000
0.000 0.000 6.083
0.000 0.000 2.926
```

Properties
The space group is I4mm (107). For the total magnetic moment, the calculation gives 0.35 Bohr magnetons per cell. The value obtained for the final energy is -0.19674 Ha/atom. Its density of states at the Fermi level is 4.1 states/eV/f.u. Its volume is 60 Å³ per cell.



VASP calculation (GGA-PBE) on a relaxed LiEr2PbO6 crystal.

```
LiEr2PbO6
1.0
2.826 1.631 5.065
-2.826 1.631 5.065
0.000 -3.263 5.065
Li Er Pb O
1 2 1 6
Cartesian
0.000 0.000 0.000
0.000 0.000 3.332
0.000 0.000 10.949
0.000 0.000 7.764
-0.819 -1.764 6.842
-1.655 -0.012 9.341
-1.119 1.591 6.842
0.838 -1.427 9.341
1.937 0.173 6.842
0.817 1.439 9.341
```

Properties
The space group is R3 (146). For the total magnetic moment, the calculation gives 1.10 Bohr magnetons per cell. The value obtained for the final energy is -0.24483 Ha/atom. Its density of states at the Fermi level is 10.2 states/eV/f.u. Its volume is 140 Å³ per cell.



VASP calculation (GGA-PBE) on a relaxed Er8P3S4 crystal.

```
Er8P3S4
1.0
5.487 -5.500 0.000
5.487 5.500 0.000
-5.482 0.000 5.509
Er P S
8 3 4
Cartesian
-0.004 0.000 2.734
5.487 2.780 0.000
2.719 0.000 0.031
2.746 2.736 2.754
2.746 -2.736 2.754
2.773 0.000 5.478
5.487 -2.780 0.000
5.497 0.000 2.775
0.000 0.000 0.000
0.002 2.750 2.754
0.002 -2.750 2.754
2.744 2.750 0.000
2.744 -2.750 0.000
5.487 0.000 0.000
2.746 0.000 2.754
```

Properties
The space group is C2/m (12). For the total magnetic moment, the calculation gives 0.00 Bohr magnetons per cell. The value obtained for the final energy is -0.23315 Ha/atom. Its density of states at the Fermi level is 5.9 states/eV/f.u. Its volume is 333 Å³ per cell.



VASP calculation (GGA-PBE) on a relaxed NaGaAg3 crystal.

```
NaGaAg3
1.0
4.982 0.000 0.000
0.000 4.982 0.000
0.000 0.000 4.982
Na Ga Ag
1 1 3
Cartesian
0.000 0.000 0.000
2.491 2.491 2.491
0.000 2.491 2.491
2.491 0.000 2.491
2.491 2.491 0.000
```

Properties
The calculation puts the polymorph energy (0 for the lowest one) at 158.6 meV/atom. The space group is Pm-3m (221). For the total magnetic moment, the calculation gives 0.00 Bohr magnetons per cell. The value obtained for the final energy is -0.08904 Ha/atom. Its density of states at the Fermi level is 1.7 states/eV/f.u. Its volume is 124 Å³ per cell.